A plane-wave DFT calculation with GGA+U was carried out for a geometry-optimized ScMoF3 structure.

Raw total energy: -26.06 eV/cell
Total magnetization: 5.6 μB/f.u.
Density of states at the Fermi level: 4.55 states/eV/cell
ρ: 3.7 g/cm³

Lattice parameters (Å, degrees): 4.446 4.446 4.446 90.00 90.00 90.00
Space group Pm-3m (No. 221)
Symmetry-distinct sites (fractional):
Sc1 0.000 0.000 0.000
Mo1 0.500 0.500 0.500
F1 0.000 0.500 0.500